VASP calculation (PBE with a Hubbard U) on an optimized crystal structure of PrFeBi2O6.

POSCAR file:
```
PrFeBi2O6
1.0
2.972 1.716 4.992
-2.972 1.716 4.992
0.000 -3.432 4.992
Pr Fe Bi O
1 1 2 6
Cartesian
0.000 0.000 0.000 Pr
0.000 0.000 7.660 Fe
0.000 0.000 3.302 Bi
0.000 0.000 10.824 Bi
-0.581 -1.744 6.752 O
-1.560 -0.094 9.140 O
-1.219 1.376 6.752 O
0.861 -1.304 9.140 O
1.801 0.368 6.752 O
0.699 1.398 9.140 O
```

Values from the calculation:
As for the spin magnetization: 5.00 Bohr magnetons per cell. Its total energy is -6.534 eV/atom.